No. 1
Computed, not measured: SbAuC2 after structural relaxation at the PBE-GGA level of DFT.

abc: 5.0850 5.0850 6.1100
angles: 65.41 65.41 90.00
With the nearest neighbours (Å) after each atom.
Positions (direct):
Au  0.7500  0.2500  0.5000  4 C 2.19
Au  0.0000  0.0000  0.0000  4 C 2.19
C  0.8750  0.8733  0.7500  2 Sb 2.18, 2 Au 2.19
C  0.6233  0.1250  0.2500  2 Sb 2.18, 2 Au 2.19
C  0.1267  0.6250  0.2500  2 Sb 2.18, 2 Au 2.19
C  0.3750  0.3767  0.7500  2 Sb 2.18, 2 Au 2.19
Sb  0.2500  0.7500  0.5000  4 C 2.18
Sb  0.5000  0.5000  0.0000  4 C 2.18

Output
Formation energy (no corrections)   5.90 eV/f.u.
Density of states at the Fermi level   0.32 states/eV/atom
E   -39.90 eV for the cell shown

***

No. 2
Computed, not measured: Sc4SbAuC after structural relaxation at the PBE-GGA level of DFT.

abc: 6.3450 6.2953 7.8227
angles: 90.00 113.93 90.00
With the nearest neighbours (Å) after each atom.
Positions (direct):
Sc  0.0000  0.5000  0.5000  2 C 2.23
Sc  0.0817  0.7500  0.1635  1 C 2.38
Sc  0.5946  0.2500  0.1893  1 C 2.25
Sc  0.5000  0.5000  0.5000  2 C 2.23
Sc  0.5000  0.0000  0.5000  2 C 2.23
Sc  0.9183  0.2500  0.8365  1 C 2.38
Sc  0.4054  0.7500  0.8107  1 C 2.25
Sc  0.0000  0.0000  0.5000  2 C 2.23
Au  0.8854  0.7500  0.7708  5 Sc 2.81-2.96
Au  0.1146  0.2500  0.2292  5 Sc 2.81-2.96
Sb  0.3915  0.2500  0.7829  9 Sc 2.91-3.20
Sb  0.6085  0.7500  0.2171  9 Sc 2.91-3.20
C  0.2480  0.7500  0.4960  6 Sc 2.23-2.38
C  0.7520  0.2500  0.5040  6 Sc 2.23-2.38

Output
Formation energy (no corrections)   -5.18 eV/f.u.
Density of states at the Fermi level   0.57 states/eV/atom
E   -94.26 eV for the cell shown

***

No. 3
Computed, not measured: Tm4SbAuC after structural relaxation at the PBE-GGA level of DFT.

abc: 6.7206 6.6653 8.1856
angles: 90.00 114.24 90.00
With the nearest neighbours (Å) after each atom.
Positions (direct):
Tm  0.9230  0.2500  0.8461  1 C 2.56
Tm  0.5911  0.2500  0.1823  1 C 2.39
Tm  0.5000  0.0000  0.5000  2 C 2.37
Tm  0.5000  0.5000  0.5000  2 C 2.37
Tm  0.0770  0.7500  0.1539  1 C 2.56
Tm  0.0000  0.5000  0.5000  2 C 2.37
Tm  0.4089  0.7500  0.8177  1 C 2.39
Tm  0.0000  0.0000  0.5000  2 C 2.37
Au  0.1175  0.2500  0.2351  5 Tm 2.90-3.08
Au  0.8825  0.7500  0.7649  5 Tm 2.90-3.08
Sb  0.6113  0.7500  0.2226  7 Tm 3.02-3.35
Sb  0.3887  0.2500  0.7774  7 Tm 3.02-3.35
C  0.7512  0.2500  0.5024  6 Tm 2.37-2.56
C  0.2488  0.7500  0.4976  6 Tm 2.37-2.56

Output
Formation energy (no corrections)   -4.89 eV/f.u.
Density of states at the Fermi level   0.40 states/eV/atom
E   -78.80 eV for the cell shown